Entry 1:
# Zr2AlRu, PBEsol geometry, DFT meta-GGA SCAN
data_Zr2AlRu
_symmetry_space_group_name_H-M 'R 3 m'
_symmetry_Int_Tables_number 160
_symmetry_space_group_name_Hall 'R 3 -2"'
_cell_length_a 3.1165
_cell_length_b 3.1165
_cell_length_c 26.2872
_cell_angle_alpha 90.00
_cell_angle_beta 90.00
_cell_angle_gamma 120.00
loop_
_atom_site_label
_atom_site_type_symbol
_atom_site_fract_x
_atom_site_fract_y
_atom_site_fract_z
_atom_site_occupancy
Zr1 Zr 0.0000 0.0000 0.0000 1
Zr2 Zr 0.0000 0.0000 0.2379 1
Al1 Al 0.0000 0.0000 0.4793 1
Ru1 Ru 0.0000 0.0000 0.7431 1
# - Density of states at the Fermi level: 3.6 states/eV/f.u.
# - Spin magnetization: 0.0 μB per formula unit
# - Energy of formation from the pure elements: -172.1 meV per atom

Entry 2:
# ZrAl2Ru, PBEsol geometry, DFT meta-GGA SCAN
data_ZrAl2Ru
_symmetry_space_group_name_H-M 'P 4 m m'
_symmetry_Int_Tables_number 99
_cell_length_a 3.1344
_cell_length_b 3.1344
_cell_length_c 6.5226
_cell_angle_alpha 90.00
_cell_angle_beta 90.00
_cell_angle_gamma 90.00
loop_
_symmetry_equiv_pos_as_xyz
'x,y,z'
'-y,x,z'
'-x,-y,z'
'y,-x,z'
'-x,y,z'
'y,x,z'
'x,-y,z'
'-y,-x,z'
loop_
_atom_site_label
_atom_site_type_symbol
_atom_site_fract_x
_atom_site_fract_y
_atom_site_fract_z
_atom_site_occupancy
Zr1 Zr 0.0000 0.0000 0.0000 1
Al1 Al 0.0000 0.0000 0.5428 1
Al2 Al 0.5000 0.5000 0.2951 1
Ru1 Ru 0.5000 0.5000 0.7340 1
# - Density of states at the Fermi level: 0.7 states/eV/f.u.
# - Spin magnetization: 0.0 μB per formula unit
# - Energy of formation from the pure elements: -639.8 meV per atom

Entry 3:
# ZrAlRu2, PBEsol geometry, DFT meta-GGA SCAN
data_ZrAlRu2
_symmetry_space_group_name_H-M 'I -4 m 2'
_symmetry_Int_Tables_number 119
_symmetry_space_group_name_Hall 'I -4 -2'
_cell_length_a 3.6998
_cell_length_b 3.6998
_cell_length_c 8.9166
_cell_angle_alpha 90.00
_cell_angle_beta 90.00
_cell_angle_gamma 90.00
loop_
_atom_site_label
_atom_site_type_symbol
_atom_site_fract_x
_atom_site_fract_y
_atom_site_fract_z
_atom_site_occupancy
Zr1 Zr 0.0000 0.0000 0.0000 1
Al1 Al 0.0000 0.5000 0.2500 1
Ru1 Ru 0.0000 0.0000 0.5000 1
Ru2 Ru 0.0000 0.5000 0.7500 1
# - Density of states at the Fermi level: 3.9 states/eV/f.u.
# - Spin magnetization: 0.0 μB per formula unit
# - Energy of formation from the pure elements: -547.0 meV per atom